VASP calculation (GGA+U) on an optimized crystal structure of KSbMoO6.

Computed properties:
Volume: 298 Å³/cell
Crystal system: trigonal
Symmetry: P-31c (163)
E: -6.2495 eV per atom

Cell lengths 5.367, 5.367, 11.927 Å; angles 90.00, 90.00, 120.00 degrees
Fractional coordinates of all 18 atoms:
K1 0.000 0.000 0.000
K2 0.000 0.000 0.500
Sb1 0.333 0.667 0.250
Sb2 0.667 0.333 0.750
Mo1 0.667 0.333 0.250
Mo2 0.333 0.667 0.750
O1 0.609 0.600 0.157
O2 0.991 0.391 0.157
O3 0.391 0.991 0.657
O4 0.009 0.609 0.843
O5 0.400 0.391 0.343
O6 0.991 0.600 0.343
O7 0.600 0.991 0.843
O8 0.609 0.009 0.343
O9 0.009 0.400 0.657
O10 0.400 0.009 0.157
O11 0.600 0.609 0.657
O12 0.391 0.400 0.843